The following is a DFT calculation (GGA-PBE) of BaUHgI6 after structural relaxation.

Summary:
**Energy**: -3.562 eV/atom
**Total magnetization**: 0.222 μB per atom

a = 8.485 Å, b = 8.485 Å, c = 17.881 Å
α = 90.00°, β = 90.00°, γ = 120.00°
Element x y z (fractional)
Ba 0.333 0.667 0.250
Ba 0.667 0.333 0.750
U 0.333 0.667 0.750
U 0.667 0.333 0.250
Hg 0.000 0.000 0.000
Hg 0.000 0.000 0.500
I 0.041 0.382 0.650
I 0.041 0.659 0.850
I 0.341 0.382 0.850
I 0.341 0.959 0.650
I 0.382 0.041 0.150
I 0.382 0.341 0.350
I 0.618 0.659 0.650
I 0.618 0.959 0.850
I 0.659 0.041 0.350
I 0.659 0.618 0.150
I 0.959 0.341 0.150
I 0.959 0.618 0.350